1.
Entry from Alexandria via LeMat-Bulk: a geometry-optimized Ni2PdS4 structure (GGA-PBE).

a b c (Å): 6.8567 6.8567 6.8567
angles (deg): 120.05 120.05 89.92
With the nearest neighbours (Å) after each atom.
Atoms (fractional coordinates):
Ni  0.0000  0.0000  0.0000  6 S 2.29
Ni  0.0000  0.0000  0.5000  6 S 2.29
Ni  0.0000  0.5000  0.0000  6 S 2.29
Ni  0.5000  0.0000  0.5000  6 S 2.29
Pd  0.3750  0.6250  0.7500  4 S 2.35
Pd  0.6250  0.3750  0.2500  4 S 2.35
S  0.2060  0.2350  0.9710  3 Ni 2.29, 1 Pd 2.35
S  0.2350  0.2060  0.4710  3 Ni 2.29, 1 Pd 2.35
S  0.2350  0.7640  0.0290  3 Ni 2.29, 1 Pd 2.35
S  0.2360  0.7650  0.4710  3 Ni 2.29, 1 Pd 2.35
S  0.7640  0.2350  0.5290  3 Ni 2.29, 1 Pd 2.35
S  0.7650  0.2360  0.9710  3 Ni 2.29, 1 Pd 2.35
S  0.7650  0.7940  0.5290  3 Ni 2.29, 1 Pd 2.35
S  0.7940  0.7650  0.0290  3 Ni 2.29, 1 Pd 2.35

**Total energy**: -0.3727 Ry/atom
**Total magnetization**: 0.000 μB/f.u.
**Formation energy without anion corrections**: -30.7 kJ per mole of atoms


2.
Entry from Alexandria via LeMat-Bulk: a geometry-optimized Zr5Te4 structure (GGA-PBE).

a b c (Å): 7.9379 7.9379 7.9379
angles (deg): 93.39 93.39 151.86
With the nearest neighbours (Å) after each atom.
Atoms (fractional coordinates):
Zr  0.0000  0.0000  0.0000  4 Te 3.12, 8 Zr 3.17
Zr  0.3094  0.6312  0.9406  5 Te 2.95-2.96, 2 Zr 3.17
Zr  0.3688  0.3094  0.6782  5 Te 2.95-2.96, 2 Zr 3.17
Zr  0.6312  0.6906  0.3218  5 Te 2.95-2.96, 2 Zr 3.17
Zr  0.6906  0.3688  0.0594  5 Te 2.95-2.96, 2 Zr 3.17
Te  0.0523  0.7183  0.7706  6 Zr 2.95-3.12
Te  0.2817  0.0523  0.3340  6 Zr 2.95-3.12
Te  0.7183  0.9477  0.6660  6 Zr 2.95-3.12
Te  0.9477  0.2817  0.2294  6 Zr 2.95-3.12

**Polymorph energy (0 for the lowest one)**: 0.0 meV per atom
**Total energy**: -0.5144 Ry/atom
**Total magnetization**: 0.000 μB/f.u.
**Formation energy without anion corrections**: -82.4 kJ per mole of atoms


3.
Entry from Alexandria via LeMat-Bulk: a geometry-optimized MgBe4 structure (GGA-PBE).

a b c (Å): 4.3431 4.3431 4.3431
angles (deg): 90.00 90.00 90.00
With the nearest neighbours (Å) after each atom.
Atoms (fractional coordinates):
Mg  0.0000  0.0000  0.0000  6 Be 2.17
Be  0.0000  0.0000  0.5000  2 Mg 2.17
Be  0.0000  0.5000  0.0000  2 Mg 2.17
Be  0.5000  0.0000  0.0000  2 Mg 2.17
Be  0.5000  0.5000  0.5000  12 Be 3.07

**Energy relative to the elements**: 9.0 eV/f.u.
**Polymorph energy (0 for the lowest one)**: 1516.2 meV per atom
**Total energy**: -0.1103 Ry/atom
**Total magnetization**: 0.000 μB/f.u.


4.
Entry from Alexandria via LeMat-Bulk: a geometry-optimized Dy2Sc3Si4 structure (GGA-PBE).

a b c (Å): 7.3693 7.3867 7.0709
angles (deg): 90.00 108.16 90.00
With the nearest neighbours (Å) after each atom.
Atoms (fractional coordinates):
Dy  0.1944  0.1743  0.0735  6 Si 2.92-3.11
Dy  0.1944  0.3257  0.5735  6 Si 2.92-3.11
Dy  0.8056  0.6743  0.4265  6 Si 2.92-3.11
Dy  0.8056  0.8257  0.9265  6 Si 2.92-3.11
Sc  0.2489  0.6795  0.2491  6 Si 2.71-2.82
Sc  0.2489  0.8205  0.7491  6 Si 2.71-2.82
Sc  0.5000  0.0000  0.5000  6 Si 2.80-2.97
Sc  0.5000  0.5000  0.0000  6 Si 2.80-2.97
Sc  0.7511  0.1795  0.2509  6 Si 2.71-2.82
Sc  0.7511  0.3205  0.7509  6 Si 2.71-2.82
Si  0.0774  0.5355  0.8662  1 Si 2.55, 3 Sc 2.71-2.81
Si  0.0774  0.9645  0.3662  1 Si 2.55, 3 Sc 2.71-2.81
Si  0.4934  0.1214  0.8725  1 Si 2.52, 4 Sc 2.74-2.82
Si  0.4934  0.3786  0.3725  1 Si 2.52, 4 Sc 2.74-2.82
Si  0.5066  0.6214  0.6275  1 Si 2.52, 4 Sc 2.74-2.82
Si  0.5066  0.8786  0.1275  1 Si 2.52, 4 Sc 2.74-2.82
Si  0.9226  0.0355  0.6338  1 Si 2.55, 3 Sc 2.71-2.81
Si  0.9226  0.4645  0.1338  1 Si 2.55, 3 Sc 2.71-2.81

**Polymorph energy (0 for the lowest one)**: 2.0 meV per atom
**Total energy**: -0.4687 Ry/atom
**Total magnetization**: 0.000 μB/f.u.
**Formation energy without anion corrections**: -80.4 kJ per mole of atoms


5.
Entry from Alexandria via LeMat-Bulk: a geometry-optimized TiMo3P structure (GGA-PBE).

a b c (Å): 4.4527 4.4527 4.4527
angles (deg): 90.00 90.00 90.00
With the nearest neighbours (Å) after each atom.
Atoms (fractional coordinates):
Ti  0.0000  0.0000  0.0000  12 Mo 3.15
Mo  0.0000  0.5000  0.5000  2 P 2.23
Mo  0.5000  0.0000  0.5000  2 P 2.23
Mo  0.5000  0.5000  0.0000  2 P 2.23
P  0.5000  0.5000  0.5000  6 Mo 2.23

**Energy relative to the elements**: 2.0 eV/f.u.
**Polymorph energy (0 for the lowest one)**: 0.0 meV per atom
**Total energy**: -0.6438 Ry/atom
**Total magnetization**: 0.000 μB/f.u.


6.
Entry from Alexandria via LeMat-Bulk: a geometry-optimized CsHgCl3 structure (GGA-PBE).

a b c (Å): 5.3991 5.3991 5.3991
angles (deg): 90.00 90.00 90.00
With the nearest neighbours (Å) after each atom.
Atoms (fractional coordinates):
Cs  0.0000  0.0000  0.0000  12 Cl 3.82
Hg  0.5000  0.5000  0.5000  6 Cl 2.70
Cl  0.0000  0.5000  0.5000  2 Hg 2.70
Cl  0.5000  0.0000  0.5000  2 Hg 2.70
Cl  0.5000  0.5000  0.0000  2 Hg 2.70

**Polymorph energy (0 for the lowest one)**: 32.1 meV per atom
**Total energy**: -0.1840 Ry/atom
**Total magnetization**: 0.000 μB/f.u.
**Formation energy without anion corrections**: -112.4 kJ per mole of atoms


7.
Entry from Alexandria via LeMat-Bulk: a geometry-optimized Pu2FeAu structure (GGA-PBE).

a b c (Å): 7.0258 7.0258 7.0258
angles (deg): 90.00 90.00 90.00
With the nearest neighbours (Å) after each atom.
Atoms (fractional coordinates):
Pu  0.2500  0.2500  0.2500  4 Fe 3.04, 4 Au 3.04
Pu  0.2500  0.2500  0.7500  4 Au 3.04, 4 Fe 3.04
Pu  0.2500  0.7500  0.2500  4 Fe 3.04, 4 Au 3.04
Pu  0.2500  0.7500  0.7500  4 Fe 3.04, 4 Au 3.04
Pu  0.7500  0.2500  0.2500  4 Fe 3.04, 4 Au 3.04
Pu  0.7500  0.2500  0.7500  4 Fe 3.04, 4 Au 3.04
Pu  0.7500  0.7500  0.2500  4 Fe 3.04, 4 Au 3.04
Pu  0.7500  0.7500  0.7500  4 Au 3.04, 4 Fe 3.04
Fe  0.0000  0.0000  0.0000  8 Pu 3.04
Fe  0.0000  0.5000  0.5000  8 Pu 3.04
Fe  0.5000  0.0000  0.5000  8 Pu 3.04
Fe  0.5000  0.5000  0.0000  8 Pu 3.04
Au  0.0000  0.0000  0.5000  8 Pu 3.04
Au  0.0000  0.5000  0.0000  8 Pu 3.04
Au  0.5000  0.0000  0.0000  8 Pu 3.04
Au  0.5000  0.5000  0.5000  8 Pu 3.04

**Energy relative to the elements**: -0.1 eV/f.u.
**Polymorph energy (0 for the lowest one)**: 134.9 meV per atom
**Total energy**: -0.7446 Ry/atom
**Total magnetization**: 9.422 μB/f.u.


8.
Entry from Alexandria via LeMat-Bulk: a geometry-optimized LaAs2SeN structure (GGA-PBE).

a b c (Å): 5.9126 5.9126 5.7610
angles (deg): 90.00 90.00 90.00
With the nearest neighbours (Å) after each atom.
Atoms (fractional coordinates):
La  0.0000  0.0000  0.0000  2 Se 2.88, 4 As 2.96
As  0.0000  0.5000  0.0000  2 La 2.96
As  0.5000  0.0000  0.0000  2 La 2.96
Se  0.0000  0.0000  0.5000  2 La 2.88
N  0.5000  0.5000  0.5000  8 As 4.13, 4 Se 4.18

**Polymorph energy (0 for the lowest one)**: 1405.3 meV per atom
**Total energy**: -0.2859 Ry/atom
**Total magnetization**: 4.377 μB/f.u.
**Formation energy without anion corrections**: 127.2 kJ per mole of atoms


9.
Entry from Alexandria via LeMat-Bulk: a geometry-optimized Tl2V2Cl7 structure (GGA-PBE).

a b c (Å): 7.9574 7.9574 6.5821
angles (deg): 96.12 96.12 101.93
With the nearest neighbours (Å) after each atom.
Atoms (fractional coordinates):
Tl  0.2024  0.7976  0.0000  6 Cl 3.21-3.28
Tl  0.7976  0.2024  0.0000  6 Cl 3.21-3.28
V  0.2768  0.2768  0.5717  4 Cl 2.27-2.36
V  0.7232  0.7232  0.4283  4 Cl 2.27-2.36
Cl  0.0983  0.4025  0.7549  1 V 2.27
Cl  0.1250  0.1250  0.2723  1 V 2.28
Cl  0.4025  0.0983  0.7549  1 V 2.27
Cl  0.5000  0.5000  0.5000  2 V 2.36
Cl  0.5975  0.9017  0.2451  1 V 2.27
Cl  0.8750  0.8750  0.7277  1 V 2.28
Cl  0.9017  0.5975  0.2451  1 V 2.27

**Total energy**: -0.3165 Ry/atom
**Total magnetization**: 5.000 μB/f.u.
**Formation energy without anion corrections**: -100.6 kJ per mole of atoms


10.
Entry from Alexandria via LeMat-Bulk: a geometry-optimized SeS7 structure (GGA-PBE).

a b c (Å): 5.4121 9.6010 16.0632
angles (deg): 90.14 90.48 90.09
With the nearest neighbours (Å) after each atom.
Atoms (fractional coordinates):
Se  0.0000  0.0000  0.0000  2 S 2.23
Se  0.0529  0.6309  0.9984  2 S 2.23
Se  0.5377  0.4988  0.2818  2 S 2.23
S  0.0192  0.3122  0.6769  2 S 2.07
S  0.0272  0.3167  0.1068  2 S 2.06
S  0.0440  0.6175  0.7793  2 S 2.06-2.07
S  0.2180  0.1791  0.7527  2 S 2.07
S  0.2304  0.1859  0.0325  1 S 2.06, 1 Se 2.23
S  0.2543  0.5730  0.8830  1 S 2.06, 1 Se 2.23
S  0.2986  0.0667  0.3922  2 S 2.06-2.07
S  0.3116  0.6862  0.2512  1 S 2.06, 1 Se 2.23
S  0.3235  0.6795  0.5282  2 S 2.07
S  0.4964  0.1174  0.2871  2 S 2.07
S  0.5029  0.1157  0.4974  2 S 2.06-2.07
S  0.5140  0.8186  0.1777  2 S 2.06-2.07
S  0.5221  0.8145  0.6035  2 S 2.07
S  0.5408  0.5088  0.5008  2 S 2.06-2.07
S  0.7151  0.9495  0.2551  2 S 2.07
S  0.7206  0.9462  0.5275  2 S 2.07
S  0.7469  0.5536  0.3973  1 S 2.06, 1 Se 2.23
S  0.7938  0.0558  0.8842  1 S 2.06, 1 Se 2.23
S  0.8230  0.4459  0.0311  1 S 2.06, 1 Se 2.23
S  0.8242  0.4468  0.7522  2 S 2.07
S  0.9994  0.0091  0.7808  2 S 2.06-2.07

**Total energy**: -0.2959 Ry/atom
**Total magnetization**: 0.000 μB/f.u.
**Formation energy without anion corrections**: 2.1 kJ per mole of atoms


11.
Entry from Alexandria via LeMat-Bulk: a geometry-optimized Na3CrBi2Se6 structure (GGA-PBE).

a b c (Å): 7.1087 7.1087 7.4147
angles (deg): 99.31 99.31 120.06
With the nearest neighbours (Å) after each atom.
Atoms (fractional coordinates):
Na  0.0000  0.0000  0.0000  6 Se 2.97-3.29
Na  0.3250  0.6750  0.0000  6 Se 2.99-3.19
Na  0.6750  0.3250  0.0000  6 Se 2.99-3.19
Cr  0.5000  0.5000  0.5000  6 Se 2.61-2.62
Bi  0.1651  0.8349  0.5000  6 Se 2.94-2.97
Bi  0.8349  0.1651  0.5000  6 Se 2.94-2.97
Se  0.1283  0.4255  0.2774  1 Cr 2.62
Se  0.2791  0.2791  0.7216  1 Cr 2.61
Se  0.4255  0.1283  0.2774  1 Cr 2.62
Se  0.5745  0.8717  0.7226  1 Cr 2.62
Se  0.7209  0.7209  0.2784  1 Cr 2.61
Se  0.8717  0.5745  0.7226  1 Cr 2.62

**Total energy**: -0.3125 Ry/atom
**Total magnetization**: 2.988 μB/f.u.
**Formation energy without anion corrections**: -70.5 kJ per mole of atoms


12.
Entry from Alexandria via LeMat-Bulk: a geometry-optimized TbInCu structure (GGA-PBE).

a b c (Å): 4.6166 4.6166 3.6248
angles (deg): 90.00 90.00 120.00
With the nearest neighbours (Å) after each atom.
Atoms (fractional coordinates):
Tb  0.0000  0.0000  0.0000  6 In 3.22, 6 Cu 3.22
In  0.6667  0.3333  0.5000  3 Cu 2.67
Cu  0.3333  0.6667  0.5000  3 In 2.67

**Energy relative to the elements**: -1.0 eV/f.u.
**Total energy**: -0.3061 Ry/atom
**Total magnetization**: 0.000 μB/f.u.